{"formula": "KAg2Br", "functional": "PBEsol", "state": "relaxed", "dos_at_fermi_per_ev_cell": 0.68, "relative_energy_mev_per_atom": 0, "raw_formation_energy_mev_per_atom": -260.7, "lattice_angstrom": [[3.642, 0.000, 0.000], [0.000, 4.538, -0.143], [-1.821, -2.052, 6.397]], "species": ["Ag", "Ag", "Br", "K"], "frac_coords": [[0.774, 0.773, 0.547], [0.226, 0.227, 0.453], [0.000, 0.000, 0.000], [0.500, 0.500, 0.000]]}